Version w
Density functional theory data (PBE) for a relaxed structure of Na8B9C7.

Cell lengths 4.937, 5.677, 8.454 Å; angles 90.00, 90.00, 90.00 degrees
Positions (direct):
C1 0.333 0.000 0.250
Na1 0.000 0.500 0.500
C2 0.167 0.750 0.750
Na2 0.499 0.750 0.497
Na3 0.501 0.250 0.000
C3 0.333 0.500 0.250
Na4 0.501 0.250 0.500
B1 0.342 0.511 0.750
B2 0.342 0.989 0.750
Na5 0.000 0.000 0.000
B3 0.167 0.250 0.250
C4 0.833 0.750 0.250
B4 0.162 0.250 0.750
C5 0.666 0.995 0.750
B5 0.819 0.250 0.750
C6 0.666 0.505 0.750
B6 0.167 0.750 0.250
Na6 0.499 0.750 0.003
B7 0.836 0.750 0.750
C7 0.834 0.250 0.250
Na7 0.000 0.500 0.000
B8 0.667 0.000 0.250
B9 0.667 0.500 0.250
Na8 0.000 0.000 0.500

Calculated values
- Fermi-level density of states: 3.10 states/eV per cell

***

Version x
Density functional theory data (PBE) for a relaxed structure of Na8B9C7.

Cell lengths 2.815, 8.472, 9.937 Å; angles 90.00, 90.00, 90.00 degrees
Positions (direct):
B1 0.000 0.250 0.333
C1 0.000 0.750 0.824
Na1 0.500 0.497 0.250
B2 0.000 0.750 0.186
C2 0.500 0.250 0.417
B3 0.500 0.250 0.084
C3 0.000 0.250 0.167
Na2 0.000 0.000 0.998
Na3 0.500 0.499 0.750
C4 0.000 0.750 0.342
Na4 0.000 0.498 0.500
B4 0.500 0.750 0.423
B5 0.500 0.250 0.584
C5 0.000 0.250 0.667
Na5 0.000 0.002 0.500
C6 0.500 0.750 0.583
B6 0.000 0.250 0.834
B7 0.500 0.750 0.904
Na6 0.500 0.003 0.250
B8 0.000 0.750 0.663
C7 0.500 0.250 0.917
B9 0.500 0.750 0.076
Na7 0.000 0.500 0.998
Na8 0.500 0.001 0.750

Calculated values
- Fermi-level density of states: 2.66 states/eV per cell

***

Version y
Density functional theory data (PBE) for a relaxed structure of Na8B9C7.

Cell lengths 2.821, 4.964, 16.920 Å; angles 90.00, 90.00, 90.00 degrees
Positions (direct):
Na1 0.500 0.500 0.247
B1 0.500 0.154 0.375
C1 0.500 0.834 0.123
Na2 0.000 0.998 0.502
Na3 0.000 0.000 0.999
Na4 0.500 0.500 0.999
B2 0.000 0.360 0.375
B3 0.500 0.167 0.627
Na5 0.000 0.000 0.751
B4 0.000 0.332 0.875
B5 0.500 0.167 0.123
Na6 0.000 0.998 0.248
C2 0.500 0.166 0.875
B6 0.500 0.821 0.375
C3 0.000 0.334 0.123
C4 0.500 0.834 0.627
C5 0.000 0.666 0.375
Na7 0.500 0.500 0.503
C6 0.000 0.666 0.875
B7 0.000 0.667 0.123
B8 0.000 0.667 0.627
C7 0.000 0.334 0.627
B9 0.500 0.832 0.875
Na8 0.500 0.500 0.751

Calculated values
- Fermi-level density of states: 1.72 states/eV per cell

***

Quick one: least stable of them? version w

***

Version w
Density functional theory data (PBE) for a relaxed structure of Na8B9C7.

Cell lengths 8.920, 8.920, 4.943 Å; angles 90.00, 90.00, 142.96 degrees
Positions (direct):
Na1 0.250 0.250 0.500
B1 0.625 0.375 0.339
Na2 0.500 0.500 0.999
B2 0.625 0.875 0.833
Na3 0.500 0.000 0.500
C1 0.625 0.875 0.167
Na4 0.750 0.750 0.500
B3 0.125 0.375 0.833
C2 0.875 0.125 0.667
B4 0.886 0.636 0.156
C3 0.125 0.875 0.335
B5 0.364 0.114 0.156
C4 0.370 0.120 0.835
B6 0.875 0.125 0.333
B7 0.125 0.875 0.664
B8 0.625 0.375 0.680
C5 0.880 0.630 0.835
C6 0.375 0.625 0.667
Na5 0.000 0.500 0.500
Na6 0.998 0.002 0.001
B9 0.375 0.625 0.333
Na7 0.750 0.250 0.999
C7 0.125 0.375 0.167
Na8 0.252 0.748 0.001

Calculated values
- Fermi-level density of states: 1.47 states/eV per cell

***

Version x
Density functional theory data (PBE) for a relaxed structure of Na8B9C7.

Cell lengths 5.682, 5.682, 8.467 Å; angles 90.00, 90.00, 120.00 degrees
Positions (direct):
B1 0.833 0.667 0.750
B2 0.340 0.160 0.750
Na1 0.000 0.000 0.499
C1 0.333 0.167 0.250
C2 0.667 0.334 0.750
C3 0.833 0.167 0.250
B3 0.667 0.333 0.250
Na2 0.500 0.000 0.497
B4 0.667 0.833 0.250
Na3 0.000 0.000 0.001
Na4 0.500 0.500 0.001
Na5 0.000 0.500 0.499
C4 0.833 0.667 0.250
C5 0.166 0.833 0.750
Na6 0.500 0.500 0.499
C6 0.667 0.833 0.750
Na7 0.000 0.500 0.001
B5 0.167 0.333 0.250
B6 0.167 0.333 0.750
C7 0.333 0.667 0.250
B7 0.819 0.160 0.750
Na8 0.500 0.000 0.003
B8 0.340 0.681 0.750
B9 0.167 0.833 0.250

Calculated values
- Fermi-level density of states: 3.32 states/eV per cell

***

Version y
Density functional theory data (PBE) for a relaxed structure of Na8B9C7.

Cell lengths 17.156, 17.156, 17.156 Å; angles 170.56, 163.38, 19.14 degrees
Positions (direct):
B1 0.856 0.188 0.667
Na1 0.998 0.999 0.999
Na2 0.626 0.626 0.000
Na3 0.124 0.126 0.999
B2 0.884 0.562 0.321
C1 0.478 0.813 0.666
C2 0.771 0.437 0.334
Na4 0.374 0.375 0.000
C3 0.522 0.188 0.334
C4 0.729 0.062 0.666
B3 0.104 0.437 0.667
B4 0.420 0.062 0.358
Na5 0.250 0.250 0.000
B5 0.219 0.562 0.656
C5 0.270 0.937 0.334
B6 0.604 0.937 0.667
B7 0.145 0.812 0.332
Na6 0.750 0.750 0.000
B8 0.355 0.688 0.667
Na7 0.499 0.499 0.000
C6 0.978 0.312 0.666
C7 0.022 0.688 0.334
Na8 0.874 0.875 0.000
B9 0.645 0.313 0.332

Calculated values
- Fermi-level density of states: 1.97 states/eV per cell

***

Quick one: least stable of them? version x

***

Version w
Density functional theory data (PBE) for a relaxed structure of NaBC3.

Cell lengths 4.400, 4.400, 4.400 Å; angles 90.00, 90.00, 90.00 degrees
Positions (direct):
C1 0.000 0.000 0.500
C2 0.000 0.500 0.000
Na1 0.000 0.000 0.000
C3 0.500 0.000 0.000
B1 0.500 0.500 0.500

Calculated values
- Fermi-level density of states: 3.84 states/eV per cell

***

Version x
Density functional theory data (PBE) for a relaxed structure of NaBC3.

Cell lengths 3.576, 3.576, 3.576 Å; angles 90.00, 90.00, 90.00 degrees
Positions (direct):
Na1 0.500 0.500 0.500
C1 0.000 0.500 0.000
C2 0.500 0.000 0.000
B1 0.000 0.000 0.000
C3 0.000 0.000 0.500

Calculated values
- Fermi-level density of states: 1.87 states/eV per cell

***

Quick one: least stable of them? version w

***

Version w
Density functional theory data (PBE) for a relaxed structure of Na3B5C.

Cell lengths 8.123, 8.123, 10.174 Å; angles 121.05, 121.05, 20.00 degrees
Positions (direct):
Na1 0.166 0.166 0.500
B1 0.964 0.964 0.249
Na2 0.666 0.666 0.998
Na3 0.333 0.333 0.000
C1 0.363 0.363 0.749
Na4 0.833 0.833 0.500
B2 0.460 0.460 0.749
B3 0.812 0.812 0.750
Na5 0.500 0.500 0.500
C2 0.304 0.304 0.251
B4 0.533 0.533 0.250
B5 0.703 0.703 0.751
B6 0.855 0.855 0.250
B7 0.134 0.134 0.750
B8 0.207 0.207 0.251
B9 0.029 0.029 0.749
B10 0.638 0.638 0.251
Na6 0.000 0.000 0.002

Calculated values
- Fermi-level density of states: 2.24 states/eV per cell

***

Version x
Density functional theory data (PBE) for a relaxed structure of Na3B5C.

Cell lengths 2.953, 2.953, 25.818 Å; angles 90.00, 90.00, 120.00 degrees
Positions (direct):
C1 0.667 0.333 0.916
B1 0.667 0.333 0.250
B2 0.667 0.333 0.418
B3 0.667 0.333 0.750
B4 0.667 0.333 0.082
Na1 0.000 0.000 0.502
Na2 0.000 0.000 0.166
B5 0.333 0.667 0.584
B6 0.333 0.667 0.250
B7 0.333 0.667 0.916
Na3 0.000 0.000 0.834
Na4 0.000 0.000 0.334
B8 0.333 0.667 0.418
B9 0.333 0.667 0.082
C2 0.667 0.333 0.584
Na5 0.000 0.000 0.998
Na6 0.000 0.000 0.666
B10 0.333 0.667 0.750

Calculated values
- Fermi-level density of states: 6.42 states/eV per cell

***

Version y
Density functional theory data (PBE) for a relaxed structure of Na3B5C.

Cell lengths 7.951, 7.951, 8.653 Å; angles 90.00, 90.00, 159.04 degrees
Positions (direct):
B1 0.220 0.780 0.250
B2 0.446 0.554 0.250
B3 0.113 0.887 0.250
Na1 0.001 0.999 0.000
B4 0.874 0.126 0.750
B5 0.780 0.220 0.250
B6 0.220 0.780 0.750
B7 0.887 0.113 0.250
B8 0.564 0.436 0.750
Na2 0.333 0.667 0.003
C1 0.774 0.226 0.750
B9 0.450 0.550 0.750
B10 0.554 0.446 0.250
Na3 0.001 0.999 0.500
Na4 0.667 0.333 0.499
C2 0.116 0.884 0.750
Na5 0.333 0.667 0.497
Na6 0.667 0.333 0.001

Calculated values
- Fermi-level density of states: 5.51 states/eV per cell

***

Quick one: least stable of them? version x

***

Version w
Density functional theory data (PBE) for a relaxed structure of NbBC3.

Cell lengths 4.204, 4.204, 4.204 Å; angles 90.00, 90.00, 90.00 degrees
Positions (direct):
B1 0.500 0.500 0.500
C1 0.500 0.000 0.000
Nb1 0.000 0.000 0.000
C2 0.000 0.000 0.500
C3 0.000 0.500 0.000

Calculated values
- Fermi-level density of states: 3.21 states/eV per cell

***

Version x
Density functional theory data (PBE) for a relaxed structure of NbBC3.

Cell lengths 3.475, 3.475, 3.475 Å; angles 90.00, 90.00, 90.00 degrees
Positions (direct):
C1 0.500 0.000 0.000
B1 0.000 0.000 0.000
C2 0.000 0.500 0.000
C3 0.000 0.000 0.500
Nb1 0.500 0.500 0.500

Calculated values
- Fermi-level density of states: 2.68 states/eV per cell

***

Quick one: least stable of them? version w

***

Version w
Density functional theory data (PBE) for a relaxed structure of Nb2BC.

Cell lengths 3.222, 3.222, 5.605 Å; angles 73.29, 73.29, 60.00 degrees
Positions (direct):
Nb1 0.748 0.748 0.755
B1 0.500 0.500 0.500
C1 0.000 0.000 0.000
Nb2 0.252 0.252 0.245

Calculated values
- Fermi-level density of states: 1.25 states/eV per cell

***

Version x
Density functional theory data (PBE) for a relaxed structure of Nb2BC.

Cell lengths 4.947, 4.947, 6.050 Å; angles 65.87, 65.87, 90.00 degrees
Positions (direct):
Nb1 0.875 0.891 0.750
B1 0.250 0.750 0.500
C1 0.750 0.250 0.500
Nb2 0.109 0.625 0.250
Nb3 0.641 0.125 0.250
Nb4 0.375 0.359 0.750
B2 0.500 0.500 0.000
C2 0.000 0.000 0.000

Calculated values
- Fermi-level density of states: 5.62 states/eV per cell

***

Quick one: least stable of them? version x

***

Version w
Density functional theory data (PBE) for a relaxed structure of Nb2BC.

Cell lengths 3.088, 4.669, 6.616 Å; angles 110.74, 90.00, 90.00 degrees
Positions (direct):
C1 0.250 0.827 0.225
Nb1 0.250 0.790 0.576
Nb2 0.250 0.283 0.067
B1 0.250 0.339 0.720
Nb3 0.750 0.717 0.933
B2 0.750 0.661 0.280
Nb4 0.750 0.210 0.424
C2 0.750 0.173 0.775

Calculated values
- Fermi-level density of states: 3.50 states/eV per cell

***

Version x
Density functional theory data (PBE) for a relaxed structure of Nb2BC.

Cell lengths 4.036, 4.036, 4.036 Å; angles 60.00, 60.00, 60.00 degrees
Positions (direct):
Nb1 0.250 0.250 0.250
C1 0.500 0.500 0.500
B1 0.000 0.000 0.000
Nb2 0.750 0.750 0.750

Calculated values
- Fermi-level density of states: 4.10 states/eV per cell

***

Quick one: least stable of them? version x

***

Version w
Density functional theory data (PBE) for a relaxed structure of Nd2BC.

Cell lengths 6.899, 6.899, 9.592 Å; angles 50.41, 50.41, 30.76 degrees
Positions (direct):
Nd1 0.440 0.440 0.361
C1 0.873 0.873 0.802
B1 0.075 0.075 0.392
B2 0.925 0.925 0.608
Nd2 0.560 0.560 0.639
Nd3 0.207 0.207 0.882
C2 0.127 0.127 0.198
Nd4 0.793 0.793 0.118

Calculated values
- Fermi-level density of states: 5.21 states/eV per cell

***

Version x
Density functional theory data (PBE) for a relaxed structure of Nd2BC.

Cell lengths 3.678, 3.068, 7.469 Å; angles 102.00, 104.33, 90.01 degrees
Positions (direct):
C1 0.500 0.009 0.000
Nd1 0.869 0.877 0.740
Nd2 0.131 0.141 0.260
B1 0.500 0.509 0.000

Calculated values
- Fermi-level density of states: 4.41 states/eV per cell

***

Quick one: least stable of them? version x